Entry 1:
# Pr2SiRh3

A crystal of Pr2SiRh3 relaxed with PBEsol (meta-GGA SCAN, Alexandria via LeMat-Bulk). Values from VASP.

Output
**Volume**: 107 Å³/cell
**Fermi-level density of states**: 2.9 states/eV/f.u.
**Total DFT energy (no corrections)**: -33.913 eV/atom

Structure (Quantum ESPRESSO input):
```
&SYSTEM
  ibrav = 0, nat = 6, ntyp = 3
/
ATOMIC_SPECIES
Pr 140.91 Pr.upf
Si 28.09 Si.upf
Rh 102.91 Rh.upf
CELL_PARAMETERS angstrom
-3.646 -0.382 -3.532
-2.409 -4.484 0.075
-4.703 0.277 1.928
ATOMIC_POSITIONS crystal
Pr 0.628 0.628 0.628
Pr 0.372 0.372 0.372
Si 0.000 0.000 0.000
Rh 0.000 0.000 0.500
Rh 0.500 0.000 0.000
Rh 0.000 0.500 0.000
```

Entry 2:
# Pr5Sn10Rh4

A crystal of Pr5Sn10Rh4 relaxed with PBEsol (meta-GGA SCAN, Alexandria via LeMat-Bulk). Values from VASP.

Output
**Volume**: 900 Å³/cell
**DFT formation energy**: -0.855 eV/atom
**Fermi-level density of states**: 8.2 states/eV/f.u.
**Total DFT energy (no corrections)**: -38.272 eV/atom

Structure (Quantum ESPRESSO input):
```
&SYSTEM
  ibrav = 0, nat = 38, ntyp = 3
/
ATOMIC_SPECIES
Pr 140.91 Pr.upf
Sn 118.71 Sn.upf
Rh 102.91 Rh.upf
CELL_PARAMETERS angstrom
4.603 0.000 0.000
0.000 13.985 0.000
0.000 0.000 13.985
ATOMIC_POSITIONS crystal
Pr 0.000 0.500 0.500
Pr 0.000 0.000 0.000
Pr 0.500 0.678 0.178
Pr 0.500 0.322 0.822
Pr 0.500 0.178 0.322
Pr 0.500 0.822 0.678
Pr 0.500 0.890 0.390
Pr 0.500 0.110 0.610
Pr 0.500 0.390 0.110
Pr 0.500 0.610 0.890
Sn 0.000 0.570 0.070
Sn 0.000 0.430 0.930
Sn 0.000 0.070 0.430
Sn 0.000 0.930 0.570
Sn 0.000 0.654 0.698
Sn 0.000 0.346 0.302
Sn 0.000 0.154 0.802
Sn 0.000 0.846 0.198
Sn 0.000 0.302 0.654
Sn 0.000 0.698 0.346
Sn 0.000 0.198 0.154
Sn 0.000 0.802 0.846
Sn 0.500 0.664 0.502
Sn 0.500 0.336 0.498
Sn 0.500 0.164 0.998
Sn 0.500 0.836 0.002
Sn 0.500 0.498 0.664
Sn 0.500 0.502 0.336
Sn 0.500 0.002 0.164
Sn 0.500 0.998 0.836
Rh 0.000 0.746 0.527
Rh 0.000 0.254 0.473
Rh 0.000 0.246 0.973
Rh 0.000 0.754 0.027
Rh 0.000 0.473 0.746
Rh 0.000 0.527 0.254
Rh 0.000 0.027 0.246
Rh 0.000 0.973 0.754
```

Entry 3:
# PrSnRh

A crystal of PrSnRh relaxed with PBEsol (meta-GGA SCAN, Alexandria via LeMat-Bulk). Values from VASP.

Output
**Volume**: 196 Å³/cell
**DFT formation energy**: -0.952 eV/atom
**Fermi-level density of states**: 2.1 states/eV/f.u.
**Total DFT energy (no corrections)**: -38.625 eV/atom

Structure (Quantum ESPRESSO input):
```
&SYSTEM
  ibrav = 0, nat = 9, ntyp = 3
/
ATOMIC_SPECIES
Pr 140.91 Pr.upf
Sn 118.71 Sn.upf
Rh 102.91 Rh.upf
CELL_PARAMETERS angstrom
-3.859 -1.418 -0.457
2.198 -6.703 2.240
-2.404 4.951 4.948
ATOMIC_POSITIONS crystal
Pr 0.500 0.414 0.414
Pr 0.500 0.586 0.000
Pr 0.500 0.000 0.586
Sn 0.000 0.751 0.751
Sn 0.000 0.249 0.000
Sn 0.000 0.000 0.249
Rh 0.500 0.000 0.000
Rh 0.000 0.667 0.333
Rh 0.000 0.333 0.667
```

Entry 4:
# PrSn4Rh2

A crystal of PrSn4Rh2 relaxed with PBEsol (meta-GGA SCAN, Alexandria via LeMat-Bulk). Values from VASP.

Output
**Volume**: 585 Å³/cell
**DFT formation energy**: -0.695 eV/atom
**Fermi-level density of states**: 1.7 states/eV/f.u.
**Total DFT energy (no corrections)**: -37.059 eV/atom

Structure (Quantum ESPRESSO input):
```
&SYSTEM
  ibrav = 0, nat = 28, ntyp = 3
/
ATOMIC_SPECIES
Pr 140.91 Pr.upf
Sn 118.71 Sn.upf
Rh 102.91 Rh.upf
CELL_PARAMETERS angstrom
4.482 0.000 0.000
0.000 7.101 0.000
0.000 0.000 18.393
ATOMIC_POSITIONS crystal
Pr 0.250 0.000 0.859
Pr 0.250 0.500 0.359
Pr 0.750 0.000 0.141
Pr 0.750 0.500 0.641
Sn 0.250 0.299 0.182
Sn 0.250 0.201 0.682
Sn 0.750 0.701 0.818
Sn 0.750 0.799 0.318
Sn 0.250 0.720 0.195
Sn 0.250 0.780 0.695
Sn 0.750 0.280 0.805
Sn 0.750 0.220 0.305
Sn 0.250 0.865 0.032
Sn 0.250 0.635 0.532
Sn 0.750 0.135 0.968
Sn 0.750 0.365 0.468
Sn 0.250 0.521 0.932
Sn 0.250 0.979 0.432
Sn 0.750 0.479 0.068
Sn 0.750 0.021 0.568
Rh 0.250 0.251 0.034
Rh 0.250 0.249 0.534
Rh 0.750 0.749 0.966
Rh 0.750 0.751 0.466
Rh 0.250 0.014 0.287
Rh 0.250 0.486 0.787
Rh 0.750 0.986 0.713
Rh 0.750 0.514 0.213
```

Entry 5:
# Pr3Sn13Rh4

A crystal of Pr3Sn13Rh4 relaxed with PBEsol (meta-GGA SCAN, Alexandria via LeMat-Bulk). Values from VASP.

Output
**Volume**: 904 Å³/cell
**DFT formation energy**: -0.632 eV/atom
**Fermi-level density of states**: 6.1 states/eV/f.u.
**Total DFT energy (no corrections)**: -37.234 eV/atom

Structure (Quantum ESPRESSO input):
```
&SYSTEM
  ibrav = 0, nat = 40, ntyp = 3
/
ATOMIC_SPECIES
Pr 140.91 Pr.upf
Sn 118.71 Sn.upf
Rh 102.91 Rh.upf
CELL_PARAMETERS angstrom
9.669 0.000 0.000
0.000 9.669 0.000
0.000 0.000 9.669
ATOMIC_POSITIONS crystal
Pr 0.000 0.500 0.750
Pr 0.250 0.000 0.500
Pr 0.000 0.500 0.250
Pr 0.750 0.000 0.500
Pr 0.500 0.250 0.000
Pr 0.500 0.750 0.000
Sn 0.347 0.500 0.807
Sn 0.000 0.847 0.693
Sn 0.307 0.000 0.153
Sn 0.153 0.307 0.000
Sn 0.693 0.000 0.847
Sn 0.000 0.000 0.000
Sn 0.653 0.500 0.807
Sn 0.193 0.653 0.500
Sn 0.807 0.653 0.500
Sn 0.000 0.847 0.307
Sn 0.500 0.807 0.347
Sn 0.347 0.500 0.193
Sn 0.847 0.693 0.000
Sn 0.307 0.000 0.847
Sn 0.500 0.193 0.653
Sn 0.500 0.193 0.347
Sn 0.847 0.307 0.000
Sn 0.653 0.500 0.193
Sn 0.807 0.347 0.500
Sn 0.500 0.500 0.500
Sn 0.193 0.347 0.500
Sn 0.000 0.153 0.307
Sn 0.000 0.153 0.693
Sn 0.500 0.807 0.653
Sn 0.693 0.000 0.153
Sn 0.153 0.693 0.000
Rh 0.750 0.750 0.250
Rh 0.250 0.750 0.250
Rh 0.750 0.250 0.250
Rh 0.250 0.250 0.750
Rh 0.750 0.250 0.750
Rh 0.750 0.750 0.750
Rh 0.250 0.250 0.250
Rh 0.250 0.750 0.750
```

Entry 6:
# PrRu2

A crystal of PrRu2 relaxed with PBEsol (meta-GGA SCAN, Alexandria via LeMat-Bulk). Values from VASP.

Output
**Volume**: 109 Å³/cell
**DFT formation energy**: -0.126 eV/atom
**Fermi-level density of states**: 4.0 states/eV/f.u.
**Total DFT energy (no corrections)**: -37.785 eV/atom

Structure (Quantum ESPRESSO input):
```
&SYSTEM
  ibrav = 0, nat = 6, ntyp = 2
/
ATOMIC_SPECIES
Pr 140.91 Pr.upf
Ru 101.07 Ru.upf
CELL_PARAMETERS angstrom
-4.023 1.759 -3.080
-3.787 -3.410 -1.671
-4.966 0.318 1.999
ATOMIC_POSITIONS crystal
Pr 0.250 0.250 0.250
Pr 0.000 0.000 0.000
Ru 0.625 0.125 0.625
Ru 0.625 0.625 0.125
Ru 0.125 0.625 0.625
Ru 0.625 0.625 0.625
```

Entry 7:
# PrSi2Ru

A crystal of PrSi2Ru relaxed with PBEsol (meta-GGA SCAN, Alexandria via LeMat-Bulk). Values from VASP.

Output
**Volume**: 146 Å³/cell
**Fermi-level density of states**: 1.6 states/eV/f.u.
**Total DFT energy (no corrections)**: -25.432 eV/atom

Structure (Quantum ESPRESSO input):
```
&SYSTEM
  ibrav = 0, nat = 8, ntyp = 3
/
ATOMIC_SPECIES
Pr 140.91 Pr.upf
Ru 101.07 Ru.upf
Si 28.09 Si.upf
CELL_PARAMETERS angstrom
4.054 0.000 0.000
0.000 4.471 -0.012
0.000 -1.727 8.067
ATOMIC_POSITIONS crystal
Pr 0.250 0.087 0.201
Pr 0.750 0.913 0.799
Ru 0.750 0.619 0.388
Ru 0.250 0.381 0.612
Si 0.250 0.833 0.508
Si 0.750 0.167 0.492
Si 0.750 0.536 0.092
Si 0.250 0.464 0.908
```

Entry 8:
# PrSn3Ru

A crystal of PrSn3Ru relaxed with PBEsol (meta-GGA SCAN, Alexandria via LeMat-Bulk). Values from VASP.

Output
**Volume**: 906 Å³/cell
**DFT formation energy**: -0.573 eV/atom
**Fermi-level density of states**: 2.5 states/eV/f.u.
**Total DFT energy (no corrections)**: -37.756 eV/atom

Structure (Quantum ESPRESSO input):
```
&SYSTEM
  ibrav = 0, nat = 40, ntyp = 3
/
ATOMIC_SPECIES
Pr 140.91 Pr.upf
Sn 118.71 Sn.upf
Ru 101.07 Ru.upf
CELL_PARAMETERS angstrom
-8.851 -0.864 -3.815
3.844 -0.169 -8.879
0.726 -9.637 0.498
ATOMIC_POSITIONS crystal
Pr 0.000 0.500 0.750
Pr 0.500 0.250 0.000
Pr 0.750 0.000 0.500
Pr 0.000 0.500 0.250
Pr 0.500 0.750 0.000
Pr 0.250 0.000 0.500
Pr 0.500 0.500 0.500
Pr 0.000 0.000 0.000
Sn 0.815 0.344 0.500
Sn 0.656 0.500 0.815
Sn 0.500 0.185 0.656
Sn 0.185 0.656 0.500
Sn 0.344 0.500 0.185
Sn 0.500 0.815 0.344
Sn 0.815 0.656 0.500
Sn 0.656 0.500 0.185
Sn 0.185 0.344 0.500
Sn 0.344 0.500 0.815
Sn 0.500 0.815 0.656
Sn 0.500 0.185 0.344
Sn 0.315 0.000 0.844
Sn 0.156 0.315 0.000
Sn 0.000 0.156 0.685
Sn 0.685 0.000 0.156
Sn 0.844 0.685 0.000
Sn 0.000 0.844 0.315
Sn 0.315 0.000 0.156
Sn 0.156 0.685 0.000
Sn 0.685 0.000 0.844
Sn 0.844 0.315 0.000
Sn 0.000 0.156 0.315
Sn 0.000 0.844 0.685
Ru 0.750 0.250 0.750
Ru 0.250 0.750 0.250
Ru 0.750 0.750 0.250
Ru 0.250 0.250 0.750
Ru 0.250 0.750 0.750
Ru 0.750 0.250 0.250
Ru 0.250 0.250 0.250
Ru 0.750 0.750 0.750
```